No. 1
VASP calculation (PBE-GGA) on an optimized crystal structure of Li5La2Ag5.

Structure (POSCAR):
```
Li5La2Ag5
1.0
4.682 0.000 0.000
0.000 5.451 0.000
0.000 0.000 9.847
Li La Ag
5 2 5
direct
0.000 0.000 0.000
0.000 0.252 0.255
0.000 0.252 0.745
0.000 0.748 0.255
0.000 0.748 0.745
0.500 0.000 0.500
0.500 0.500 0.000
0.000 0.500 0.500
0.500 0.000 0.170
0.500 0.000 0.830
0.500 0.500 0.324
0.500 0.500 0.676
```

Results
**E_tot**: -36.19 eV for the cell shown
**Magnetic moment**: 0.0 μB per formula unit
**DOS at the Fermi energy**: 6.61 states/eV/f.u.

---

No. 2
VASP calculation (PBE-GGA) on an optimized crystal structure of Li2LaAg.

Structure (POSCAR):
```
Li2LaAg
1.0
0.000 3.635 3.635
3.635 0.000 3.635
3.635 3.635 0.000
Li La Ag
2 1 1
direct
0.000 0.000 0.000
0.250 0.250 0.250
0.500 0.500 0.500
0.750 0.750 0.750
```

Results
**E_tot**: -11.69 eV for the cell shown
**Magnetic moment**: 0.0 μB per formula unit
**DOS at the Fermi energy**: 4.74 states/eV/f.u.

---

No. 3
VASP calculation (PBE-GGA) on an optimized crystal structure of Li4La5Ag4.

Structure (POSCAR):
```
Li4La5Ag4
1.0
-6.388 6.388 2.061
6.388 -6.388 2.061
6.388 6.388 -2.061
Li La Ag
4 5 4
direct
0.072 0.406 0.478
0.406 0.928 0.334
0.594 0.072 0.666
0.928 0.594 0.522
0.127 0.790 0.917
0.210 0.127 0.337
0.500 0.500 0.000
0.790 0.873 0.663
0.873 0.210 0.083
0.238 0.562 0.800
0.438 0.238 0.675
0.562 0.762 0.325
0.762 0.438 0.200
```

Results
**E_tot**: -45.62 eV for the cell shown
**Magnetic moment**: 0.0 μB per formula unit
**DOS at the Fermi energy**: 14.15 states/eV/f.u.

---

No. 4
VASP calculation (PBE-GGA) on an optimized crystal structure of LiLaAg.

Structure (POSCAR):
```
LiLaAg
1.0
-1.815 1.824 5.415
1.815 -1.824 5.415
1.815 1.824 -5.415
Li La Ag
1 1 1
direct
0.000 0.000 0.000
0.707 0.707 0.000
0.397 0.397 0.000
```

Results
**E_tot**: -10.07 eV for the cell shown
**Magnetic moment**: 0.0 μB per formula unit
**DOS at the Fermi energy**: 2.70 states/eV/f.u.

---

No. 5
VASP calculation (PBE-GGA) on an optimized crystal structure of Li2LaAg.

Structure (POSCAR):
```
Li2LaAg
1.0
3.502 0.000 0.000
0.000 3.502 0.000
0.000 0.000 7.536
Li La Ag
2 1 1
direct
0.000 0.000 0.000
0.500 0.500 0.204
0.500 0.500 0.658
0.000 0.000 0.374
```

Results
**E_tot**: -11.96 eV for the cell shown
**Magnetic moment**: 0.0 μB per formula unit
**DOS at the Fermi energy**: 2.72 states/eV/f.u.

---

No. 6
VASP calculation (PBE-GGA) on an optimized crystal structure of Li6La2Ag3.

Structure (POSCAR):
```
Li6La2Ag3
1.0
8.307 0.000 0.000
-4.153 7.194 0.000
0.000 0.000 4.143
Li La Ag
6 2 3
direct
0.000 0.200 0.000
0.000 0.735 0.500
0.200 0.000 0.000
0.265 0.265 0.500
0.735 0.000 0.500
0.800 0.800 0.000
0.333 0.667 0.000
0.667 0.333 0.000
0.000 0.402 0.500
0.402 0.000 0.500
0.598 0.598 0.500
```

Results
**E_tot**: -30.98 eV for the cell shown
**Magnetic moment**: 0.0 μB per formula unit
**DOS at the Fermi energy**: 7.81 states/eV/f.u.

---

No. 7
VASP calculation (PBE-GGA) on an optimized crystal structure of Li5La2Ag12.

Structure (POSCAR):
```
Li5La2Ag12
1.0
4.733 2.733 4.757
-4.733 2.733 4.757
0.000 -5.465 4.757
Li La Ag
5 2 12
direct
0.000 0.000 0.500
0.000 0.500 0.000
0.091 0.091 0.091
0.500 0.000 0.000
0.909 0.909 0.909
0.357 0.357 0.357
0.643 0.643 0.643
0.000 0.301 0.699
0.000 0.699 0.301
0.141 0.661 0.661
0.301 0.000 0.699
0.301 0.699 0.000
0.339 0.339 0.859
0.339 0.859 0.339
0.661 0.141 0.661
0.661 0.661 0.141
0.699 0.000 0.301
0.699 0.301 0.000
0.859 0.339 0.339
```

Results
**E_tot**: -57.44 eV for the cell shown
**Magnetic moment**: 0.0 μB per formula unit
**DOS at the Fermi energy**: 8.75 states/eV/f.u.

---

No. 8
VASP calculation (PBE-GGA) on an optimized crystal structure of Li2LaAg.

Structure (POSCAR):
```
Li2LaAg
1.0
1.593 0.920 10.309
-1.593 0.920 10.309
0.000 -1.839 10.309
Li La Ag
2 1 1
direct
0.000 0.000 0.000
0.197 0.197 0.197
0.766 0.766 0.766
0.598 0.598 0.598
```

Results
**E_tot**: -11.42 eV for the cell shown
**Magnetic moment**: 0.0 μB per formula unit
**DOS at the Fermi energy**: 1.54 states/eV/f.u.

---

No. 9
VASP calculation (PBE-GGA) on an optimized crystal structure of Li2La2Ag15.

Structure (POSCAR):
```
Li2La2Ag15
1.0
4.809 2.777 4.823
-4.809 2.777 4.823
0.000 -5.553 4.823
Li La Ag
2 2 15
direct
0.095 0.095 0.095
0.905 0.905 0.905
0.348 0.348 0.348
0.652 0.652 0.652
0.000 0.000 0.500
0.000 0.302 0.698
0.000 0.500 0.000
0.000 0.698 0.302
0.155 0.652 0.652
0.302 0.000 0.698
0.302 0.698 0.000
0.348 0.348 0.845
0.348 0.845 0.348
0.500 0.000 0.000
0.652 0.155 0.652
0.652 0.652 0.155
0.698 0.000 0.302
0.698 0.302 0.000
0.845 0.348 0.348
```

Results
**E_tot**: -58.85 eV for the cell shown
**Magnetic moment**: 0.0 μB per formula unit
**DOS at the Fermi energy**: 10.50 states/eV/f.u.

---

No. 10
VASP calculation (PBE-GGA) on an optimized crystal structure of Li5LaAg6.

Structure (POSCAR):
```
Li5LaAg6
1.0
2.359 -7.097 0.000
2.359 7.097 0.000
0.000 0.000 6.755
Li La Ag
5 1 6
direct
0.000 0.000 0.000
0.322 0.678 0.500
0.340 0.660 0.000
0.660 0.340 0.000
0.678 0.322 0.500
0.000 0.000 0.500
0.178 0.822 0.223
0.178 0.822 0.777
0.500 0.500 0.213
0.500 0.500 0.787
0.822 0.178 0.223
0.822 0.178 0.777
```

Results
**E_tot**: -33.58 eV for the cell shown
**Magnetic moment**: 0.0 μB per formula unit
**DOS at the Fermi energy**: 4.68 states/eV/f.u.

---

No. 11
VASP calculation (PBE-GGA) on an optimized crystal structure of LiLaAg.

Structure (POSCAR):
```
LiLaAg
1.0
0.000 3.537 3.537
3.537 0.000 3.537
3.537 3.537 0.000
Li La Ag
1 1 1
direct
0.000 0.000 0.000
0.500 0.500 0.500
0.250 0.250 0.250
```

Results
**E_tot**: -9.64 eV for the cell shown
**Magnetic moment**: 0.0 μB per formula unit
**DOS at the Fermi energy**: 2.86 states/eV/f.u.

---

No. 12
VASP calculation (PBE-GGA) on an optimized crystal structure of Li5La4Ag6.

Structure (POSCAR):
```
Li5La4Ag6
1.0
2.186 -11.355 0.000
2.186 11.355 0.000
0.000 0.000 14.789
Li La Ag
10 8 12
direct
0.032 0.968 0.500
0.162 0.838 0.814
0.168 0.832 0.455
0.203 0.797 0.097
0.303 0.697 0.459
0.697 0.303 0.959
0.797 0.203 0.597
0.832 0.168 0.955
0.838 0.162 0.314
0.968 0.032 0.000
0.321 0.679 0.781
0.374 0.626 0.127
0.444 0.556 0.626
0.455 0.545 0.358
0.545 0.455 0.858
0.556 0.444 0.126
0.626 0.374 0.627
0.679 0.321 0.281
0.040 0.960 0.701
0.073 0.927 0.299
0.106 0.894 0.986
0.228 0.772 0.626
0.275 0.725 0.270
0.416 0.584 0.931
0.584 0.416 0.431
0.725 0.275 0.770
0.772 0.228 0.126
0.894 0.106 0.486
0.927 0.073 0.799
0.960 0.040 0.201
```

Results
**E_tot**: -97.20 eV for the cell shown
**Magnetic moment**: 0.0 μB per formula unit
**DOS at the Fermi energy**: 10.54 states/eV/f.u.

---

No. 13
VASP calculation (PBE-GGA) on an optimized crystal structure of Li2LaAg.

Structure (POSCAR):
```
Li2LaAg
1.0
4.349 0.000 0.000
0.000 7.962 0.000
-2.162 0.000 5.464
Li La Ag
4 2 2
direct
0.157 0.057 0.315
0.157 0.443 0.315
0.843 0.557 0.685
0.843 0.943 0.685
0.441 0.250 0.882
0.559 0.750 0.118
0.275 0.750 0.550
0.725 0.250 0.450
```

Results
**E_tot**: -24.07 eV for the cell shown
**Magnetic moment**: 0.0 μB per formula unit
**DOS at the Fermi energy**: 2.81 states/eV/f.u.

---

No. 14
VASP calculation (PBE-GGA) on an optimized crystal structure of Li2LaAg.

Structure (POSCAR):
```
Li2LaAg
1.0
3.394 0.000 0.000
0.000 3.394 0.000
0.000 0.000 7.672
Li La Ag
2 1 1
direct
0.000 0.000 0.178
0.000 0.000 0.822
0.500 0.500 0.500
0.500 0.500 0.000
```

Results
**E_tot**: -11.78 eV for the cell shown
**Magnetic moment**: 0.0 μB per formula unit
**DOS at the Fermi energy**: 2.67 states/eV/f.u.

---

No. 15
VASP calculation (PBE-GGA) on an optimized crystal structure of Li5La2Ag4.

Structure (POSCAR):
```
Li5La2Ag4
1.0
0.000 4.764 8.880
2.810 0.000 8.880
2.810 4.764 0.000
Li La Ag
5 2 4
direct
0.000 0.000 0.000
0.000 0.000 0.500
0.250 0.250 0.250
0.500 0.500 0.000
0.750 0.750 0.750
0.358 0.358 0.642
0.642 0.642 0.358
0.030 0.710 0.290
0.290 0.970 0.030
0.710 0.030 0.970
0.970 0.290 0.710
```

Results
**E_tot**: -32.64 eV for the cell shown
**Magnetic moment**: 0.0 μB per formula unit
**DOS at the Fermi energy**: 5.44 states/eV/f.u.

---

No. 16
VASP calculation (PBE-GGA) on an optimized crystal structure of Li2LaAg.

Structure (POSCAR):
```
Li2LaAg
1.0
4.029 -2.322 0.000
4.029 2.322 0.000
-2.676 0.000 5.124
Li La Ag
2 1 1
direct
0.000 0.000 0.000
0.716 0.716 0.148
0.205 0.205 0.615
0.412 0.412 0.236
```

Results
**E_tot**: -11.86 eV for the cell shown
**Magnetic moment**: 0.0 μB per formula unit
**DOS at the Fermi energy**: 3.48 states/eV/f.u.

---

No. 17
VASP calculation (PBE-GGA) on an optimized crystal structure of Li3La2Ag2.

Structure (POSCAR):
```
Li3La2Ag2
1.0
5.534 -2.194 0.000
5.534 2.194 0.000
-3.257 0.000 6.957
Li La Ag
3 2 2
direct
0.000 0.000 0.000
0.144 0.144 0.436
0.856 0.856 0.564
0.362 0.362 0.229
0.638 0.638 0.771
0.361 0.361 0.803
0.639 0.639 0.197
```

Results
**E_tot**: -22.30 eV for the cell shown
**Magnetic moment**: 0.0 μB per formula unit
**DOS at the Fermi energy**: 4.91 states/eV/f.u.

---

No. 18
VASP calculation (PBE-GGA) on an optimized crystal structure of LiLaAg.

Structure (POSCAR):
```
LiLaAg
1.0
2.359 -5.537 0.000
2.359 5.537 0.000
0.000 0.000 5.698
Li La Ag
2 2 2
direct
0.000 0.000 0.000
0.000 0.000 0.500
0.295 0.705 0.750
0.705 0.295 0.250
0.418 0.582 0.250
0.582 0.418 0.750
```

Results
**E_tot**: -20.43 eV for the cell shown
**Magnetic moment**: 0.0 μB per formula unit
**DOS at the Fermi energy**: 2.96 states/eV/f.u.

---

No. 19
VASP calculation (PBE-GGA) on an optimized crystal structure of LiLaAg.

Structure (POSCAR):
```
LiLaAg
1.0
4.822 0.000 0.000
-2.411 4.176 0.000
0.000 0.000 3.672
Li La Ag
1 1 1
direct
0.000 0.000 0.000
0.333 0.667 0.500
0.667 0.333 0.000
```

Results
**E_tot**: -10.11 eV for the cell shown
**Magnetic moment**: 0.3 μB per formula unit
**DOS at the Fermi energy**: 3.10 states/eV/f.u.

---

No. 20
VASP calculation (PBE-GGA) on an optimized crystal structure of LiLaAg.

Structure (POSCAR):
```
LiLaAg
1.0
0.000 3.581 3.581
3.581 0.000 3.581
3.581 3.581 0.000
Li La Ag
1 1 1
direct
0.000 0.000 0.000
0.250 0.250 0.250
0.500 0.500 0.500
```

Results
**E_tot**: -8.52 eV for the cell shown
**Magnetic moment**: 0.0 μB per formula unit
**DOS at the Fermi energy**: 4.25 states/eV/f.u.

---

No. 21
VASP calculation (PBE-GGA) on an optimized crystal structure of Li2LaAg.

Structure (POSCAR):
```
Li2LaAg
1.0
-2.292 2.292 4.305
2.292 -2.292 4.305
2.292 2.292 -4.305
Li La Ag
2 1 1
direct
0.250 0.750 0.500
0.750 0.250 0.500
0.000 0.000 0.000
0.500 0.500 0.000
```

Results
**E_tot**: -11.52 eV for the cell shown
**Magnetic moment**: 0.0 μB per formula unit
**DOS at the Fermi energy**: 3.80 states/eV/f.u.

---

No. 22
VASP calculation (PBE-GGA) on an optimized crystal structure of Li2LaAg6.

Structure (POSCAR):
```
Li2LaAg6
1.0
0.000 5.881 5.881
5.881 0.000 5.881
5.881 5.881 0.000
Li La Ag
4 2 12
direct
0.000 0.000 0.000
0.000 0.000 0.500
0.000 0.500 0.000
0.500 0.000 0.000
0.375 0.375 0.375
0.625 0.625 0.625
0.121 0.121 0.629
0.121 0.629 0.121
0.121 0.629 0.629
0.371 0.371 0.879
0.371 0.879 0.371
0.371 0.879 0.879
0.629 0.121 0.121
0.629 0.121 0.629
0.629 0.629 0.121
0.879 0.371 0.371
0.879 0.371 0.879
0.879 0.879 0.371
```

Results
**E_tot**: -49.46 eV for the cell shown
**Magnetic moment**: 0.0 μB per formula unit
**DOS at the Fermi energy**: 4.76 states/eV/f.u.

---

No. 23
VASP calculation (PBE-GGA) on an optimized crystal structure of Li3La2Ag2.

Structure (POSCAR):
```
Li3La2Ag2
1.0
2.347 -10.559 0.000
2.347 10.559 0.000
0.000 0.000 3.801
Li La Ag
3 2 2
direct
0.000 0.000 0.000
0.431 0.569 0.500
0.569 0.431 0.500
0.165 0.835 0.000
0.835 0.165 0.000
0.293 0.707 0.500
0.707 0.293 0.500
```

Results
**E_tot**: -21.83 eV for the cell shown
**Magnetic moment**: 0.0 μB per formula unit
**DOS at the Fermi energy**: 5.51 states/eV/f.u.